A plane-wave DFT calculation with PBE was carried out for a relaxed Pm2NdGa2 crystal.

Calculated values
ΔH_f (0 K) = -46.3 kJ/mol of atoms
Calculated total energy = -4.54 eV/atom
Energy relative to the lowest polymorph listed for this composition = 0 meV/atom

Cell lengths 4.510, 7.819, 7.819 Å; angles 90.00, 90.00, 90.00 degrees
Sites, in units of the cell vectors:
Pm1 0.500 0.174 0.674
Pm2 0.500 0.674 0.826
Pm3 0.500 0.826 0.326
Pm4 0.500 0.326 0.174
Nd1 0.000 0.000 0.000
Nd2 0.000 0.500 0.500
Ga1 0.000 0.383 0.883
Ga2 0.000 0.883 0.617
Ga3 0.000 0.617 0.117
Ga4 0.000 0.117 0.383

A plane-wave DFT calculation with PBE was carried out for a relaxed LiAl2Cd crystal.

Calculated values
ΔH_f (0 K) = 2.0 kJ/mol of atoms
Calculated total energy = -2.56 eV/atom

Cell lengths 2.943, 2.943, 8.450 Å; angles 90.00, 90.00, 90.00 degrees
Sites, in units of the cell vectors:
Al1 0.000 0.000 0.990
Al2 0.000 0.000 0.510
Cd1 0.500 0.500 0.250
Li1 0.500 0.500 0.750

A plane-wave DFT calculation with PBE was carried out for a relaxed FeTc2Pt crystal.

Calculated values
ΔH_f (0 K) = 41.4 kJ/mol of atoms
Calculated total energy = -8.38 eV/atom
Energy relative to the lowest polymorph listed for this composition = 488 meV/atom

Cell lengths 3.698, 3.698, 9.415 Å; angles 78.67, 78.67, 90.00 degrees
Sites, in units of the cell vectors:
Tc1 0.587 0.125 0.250
Tc2 0.163 0.625 0.250
Tc3 0.375 0.413 0.750
Tc4 0.875 0.837 0.750
Pt1 0.000 0.000 0.000
Pt2 0.750 0.250 0.500
Fe1 0.500 0.500 0.000
Fe2 0.250 0.750 0.500